No. 1
# Nd2SmZn PBE optimized geometry
data_Nd2SmZn
_cell_length_a 3.6801
_cell_length_b 3.6801
_cell_length_c 8.8277
_cell_angle_alpha 90.00
_cell_angle_beta 90.00
_cell_angle_gamma 90.00
_space_group_name_H-M_alt 'P 4/m m m'
_space_group_IT_number 123
_space_group_name_Hall '-P 4 2'
loop_
_atom_site_label
_atom_site_type_symbol
_atom_site_fract_x
_atom_site_fract_y
_atom_site_fract_z
_atom_site_occupancy
Nd1 Nd 0.0000 0.0000 0.2087 1
Sm1 Sm 0.5000 0.5000 0.5000 1
Zn1 Zn 0.5000 0.5000 0.0000 1
# Crystal system: tetragonal
# E above lowest polymorph, meV/atom: 0.0

No. 2
# Ti6Sn3Mo PBE optimized geometry
data_Ti6Sn3Mo
_cell_length_a 9.0279
_cell_length_b 14.2541
_cell_length_c 5.9515
_cell_angle_alpha 90.00
_cell_angle_beta 90.00
_cell_angle_gamma 90.00
_space_group_name_H-M_alt 'C m c 21'
_space_group_IT_number 36
loop_
_space_group_symop_operation_xyz
'x,y,z'
'-x,-y,z+1/2'
'-x,y,z'
'x,-y,z+1/2'
'x+1/2,y+1/2,z'
'-x+1/2,-y+1/2,z+1/2'
'-x+1/2,y+1/2,z'
'x+1/2,-y+1/2,z+1/2'
loop_
_atom_site_label
_atom_site_type_symbol
_atom_site_fract_x
_atom_site_fract_y
_atom_site_fract_z
_atom_site_occupancy
Ti1 Ti 0.0000 0.0539 0.0000 1
Ti2 Ti 0.0000 0.2620 0.3207 1
Ti3 Ti 0.1693 0.4246 0.2789 1
Ti4 Ti 0.2092 0.2286 0.0012 1
Sn1 Sn 0.0000 0.3734 0.7243 1
Sn2 Sn 0.1842 0.0951 0.3625 1
Mo1 Mo 0.0000 0.1671 0.7077 1
# Crystal system: orthorhombic
# Final energy, eV/atom: -7.074

No. 3
# BeHgN2 PBE optimized geometry
data_BeHgN2
_cell_length_a 4.2416
_cell_length_b 4.2416
_cell_length_c 10.1921
_cell_angle_alpha 90.00
_cell_angle_beta 90.00
_cell_angle_gamma 90.00
_space_group_name_H-M_alt 'I -4 2 d'
_space_group_IT_number 122
_space_group_name_Hall 'I -4 2bw'
loop_
_atom_site_label
_atom_site_type_symbol
_atom_site_fract_x
_atom_site_fract_y
_atom_site_fract_z
_atom_site_occupancy
Be1 Be 0.0000 0.0000 0.0000 1
Hg1 Hg 0.0000 0.0000 0.5000 1
N1 N 0.0887 0.2500 0.1250 1
# E_form (uncorrected), eV/atom: 0.6828
# Crystal system: tetragonal
# E above lowest polymorph, meV/atom: 0.0

Values for D(E_F), states/eV/f.u., ordered as above
4.2 9.0 1.1